[1]
The following is a DFT calculation (PBE) of ScMnBe2 after structural relaxation.

Calculated values
Symmetry: No. 122
E above lowest polymorph, kJ/mol of formula units: 200
Total moment, μB per formula unit: 0.0
Energy of formation from the pure elements, eV/f.u.: 1.898
E_tot, eV per atom: -5.264

a b c (Å): 8.2129 8.2129 8.2129
angles (deg): 152.88 152.88 38.73
Closest atoms and distances in Å follow each position.
Fractional positions:
1 Sc 0.0000 0.0000 0.0000  4 Mn 2.72, 8 Be 2.78-3.01
2 Sc 0.7500 0.2500 0.5000  4 Mn 2.72, 8 Be 2.78-3.01
3 Mn 0.2500 0.7500 0.5000  4 Be 2.17
4 Mn 0.5000 0.5000 0.0000  4 Be 2.17
5 Be 0.3299 0.6250 0.2049  2 Be 1.96, 2 Mn 2.17
6 Be 0.3750 0.5799 0.7049  2 Be 1.96, 2 Mn 2.17
7 Be 0.4201 0.1250 0.7951  2 Be 1.96, 2 Mn 2.17
8 Be 0.8750 0.6701 0.2951  2 Be 1.96, 2 Mn 2.17

[2]
The following is a DFT calculation (PBE) of Sc2MnBe after structural relaxation.

Calculated values
Symmetry: No. 123
Total moment, μB per formula unit: 2.6
Energy of formation from the pure elements, eV/f.u.: 0.159
E_tot, eV per atom: -6.350

a b c (Å): 3.1797 3.1797 6.6784
angles (deg): 90.00 90.00 90.00
Closest atoms and distances in Å follow each position.
Fractional positions:
1 Sc 0.0000 0.0000 0.2388  4 Be 2.76, 4 Mn 2.85
2 Sc 0.0000 0.0000 0.7612  4 Be 2.76, 4 Mn 2.85
3 Mn 0.5000 0.5000 0.5000  8 Sc 2.85, 4 Mn 3.18
4 Be 0.5000 0.5000 0.0000  8 Sc 2.76

[3]
The following is a DFT calculation (PBE) of Sc2Mn2Be15 after structural relaxation.

Calculated values
Symmetry: No. 166
Total moment, μB per formula unit: 0.9
Energy of formation from the pure elements, eV/f.u.: -3.595
E_tot, eV per atom: -4.763

a b c (Å): 5.7260 5.7260 5.7260
angles (deg): 84.39 84.39 84.39
Closest atoms and distances in Å follow each position.
Fractional positions:
1 Sc 0.1574 0.1574 0.1574  1 Mn 2.69, 18 Be 2.76-2.93
2 Sc 0.8426 0.8426 0.8426  1 Mn 2.69, 18 Be 2.76-2.93
3 Mn 0.4054 0.4054 0.4054  1 Mn 2.05
4 Mn 0.5946 0.5946 0.5946  1 Mn 2.05
5 Be 0.0000 0.5000 0.5000  8 Be 2.14-2.21, 2 Mn 2.35
6 Be 0.1592 0.1592 0.6528  8 Be 2.21-2.36, 1 Mn 2.36
7 Be 0.1592 0.6528 0.1592  8 Be 2.21-2.36, 1 Mn 2.36
8 Be 0.2124 0.5000 0.7876  8 Be 2.14-2.36
9 Be 0.2124 0.7876 0.5000  8 Be 2.14-2.36
10 Be 0.3472 0.8408 0.8408  8 Be 2.21-2.36, 1 Mn 2.36
11 Be 0.5000 0.0000 0.5000  8 Be 2.14-2.21, 2 Mn 2.35
12 Be 0.5000 0.2124 0.7876  8 Be 2.14-2.36
13 Be 0.5000 0.5000 0.0000  8 Be 2.14-2.21, 2 Mn 2.35
14 Be 0.5000 0.7876 0.2124  8 Be 2.14-2.36
15 Be 0.6528 0.1592 0.1592  8 Be 2.21-2.36, 1 Mn 2.36
16 Be 0.7876 0.2124 0.5000  8 Be 2.14-2.36
17 Be 0.7876 0.5000 0.2124  8 Be 2.14-2.36
18 Be 0.8408 0.3472 0.8408  8 Be 2.21-2.36, 1 Mn 2.36
19 Be 0.8408 0.8408 0.3472  8 Be 2.21-2.36, 1 Mn 2.36

What did the third record say?
The following is a DFT calculation (PBE) of Sc2Mn2Be15 after structural relaxation.

Calculated values
Symmetry: No. 166
Total moment, μB per formula unit: 0.9
Energy of formation from the pure elements, eV/f.u.: -3.595
E_tot, eV per atom: -4.763

a b c (Å): 5.7260 5.7260 5.7260
angles (deg): 84.39 84.39 84.39
Closest atoms and distances in Å follow each position.
Fractional positions:
1 Sc 0.1574 0.1574 0.1574  1 Mn 2.69, 18 Be 2.76-2.93
2 Sc 0.8426 0.8426 0.8426  1 Mn 2.69, 18 Be 2.76-2.93
3 Mn 0.4054 0.4054 0.4054  1 Mn 2.05
4 Mn 0.5946 0.5946 0.5946  1 Mn 2.05
5 Be 0.0000 0.5000 0.5000  8 Be 2.14-2.21, 2 Mn 2.35
6 Be 0.1592 0.1592 0.6528  8 Be 2.21-2.36, 1 Mn 2.36
7 Be 0.1592 0.6528 0.1592  8 Be 2.21-2.36, 1 Mn 2.36
8 Be 0.2124 0.5000 0.7876  8 Be 2.14-2.36
9 Be 0.2124 0.7876 0.5000  8 Be 2.14-2.36
10 Be 0.3472 0.8408 0.8408  8 Be 2.21-2.36, 1 Mn 2.36
11 Be 0.5000 0.0000 0.5000  8 Be 2.14-2.21, 2 Mn 2.35
12 Be 0.5000 0.2124 0.7876  8 Be 2.14-2.36
13 Be 0.5000 0.5000 0.0000  8 Be 2.14-2.21, 2 Mn 2.35
14 Be 0.5000 0.7876 0.2124  8 Be 2.14-2.36
15 Be 0.6528 0.1592 0.1592  8 Be 2.21-2.36, 1 Mn 2.36
16 Be 0.7876 0.2124 0.5000  8 Be 2.14-2.36
17 Be 0.7876 0.5000 0.2124  8 Be 2.14-2.36
18 Be 0.8408 0.3472 0.8408  8 Be 2.21-2.36, 1 Mn 2.36
19 Be 0.8408 0.8408 0.3472  8 Be 2.21-2.36, 1 Mn 2.36